Compound: ZrBeTe
Source: the Alexandria database
Functional: PBE
Structure: optimized geometry

Uncorrected energy (eV per atom): -5.25
SG: No. 107
Formation energy without anion corrections (eV per atom): -0.11
D(E_F) (states/eV per cell): 2.45
Offset from the most stable computed form (meV/atom): 547

Structure (CIF):
```
data_ZrBeTe
_chemical_formula_sum 'Zr1 Be1 Te1'
_cell_length_a 5.267
_cell_length_b 5.268
_cell_length_c 3.474
_cell_angle_alpha 70.73
_cell_angle_beta 70.76
_cell_angle_gamma 38.51
_space_group_name_H-M_alt 'P 1'
_space_group_IT_number 1
_space_group_name_Hall 'P 1'
loop_
_atom_site_label
_atom_site_type_symbol
_atom_site_fract_x
_atom_site_fract_y
_atom_site_fract_z
_atom_site_occupancy
Be1 Be 0.987 0.987 0.013 1
Te1 Te 0.349 0.349 0.651 1
Zr1 Zr 0.664 0.664 0.336 1
```